No. 1
Here is a relaxed structure of LiAl3Ag2 from the Alexandria database. Energies are from PBE-GGA.

a = 2.945 Å, b = 7.123 Å, c = 10.251 Å
α = 76.95°, β = 81.74°, γ = 78.07°
Atoms (fractional coordinates):
1 Ag 0.172 0.536 0.120
2 Ag 0.828 0.464 0.880
3 Ag 0.354 0.828 0.464
4 Ag 0.646 0.172 0.536
5 Al 0.948 0.883 0.221
6 Al 0.248 0.199 0.304
7 Al 0.752 0.801 0.696
8 Al 0.394 0.175 0.037
9 Al 0.606 0.825 0.963
10 Al 0.052 0.117 0.779
11 Li 0.438 0.473 0.651
12 Li 0.562 0.527 0.349

Values from the calculation:
Calculated density (g cm⁻³): 4.94
Total moment (μB per formula unit): 0.00

No. 2
Here is a relaxed structure of Zn2NiB from the Alexandria database. Energies are from PBE-GGA.

a = 8.178 Å, b = 8.178 Å, c = 6.101 Å
α = 47.91°, β = 47.91°, γ = 90.00°
Atoms (fractional coordinates):
1 Zn 0.375 0.625 0.750
2 Zn 0.375 0.125 0.250
3 Zn 0.875 0.625 0.750
4 Zn 0.375 0.625 0.250
5 B 0.250 0.750 0.500
6 B 0.500 0.500 0.000
7 Ni 0.000 0.000 0.000
8 Ni 0.750 0.250 0.500

Values from the calculation:
Calculated density (g cm⁻³): 5.12
Total moment (μB per formula unit): 0.00

Computed ΔH_f (0 K), in the same sequence as the records: -77, 285 meV per atom.